Arrangement w

Entry from the Alexandria database: a relaxed structure of K3SrF (PBE-GGA).

```
K3SrF
1.0
8.3019 0.0000 0.0000
0.0000 8.3019 0.0000
0.0000 0.0000 8.3019
K Sr F
3 1 1
direct
0.0000 0.0000 0.5000
0.0000 0.5000 0.0000
0.5000 0.0000 0.0000
0.0000 0.0000 0.0000
0.5000 0.5000 0.5000
```

Values from the calculation:
Volume (Å³/cell): 572.2
Space group: No. 221
M_tot (μB/f.u.): 2.00


Arrangement x

Entry from the Alexandria database: a relaxed structure of K3SrF (PBE-GGA).

```
K3SrF
1.0
6.0797 0.0000 0.0000
0.0000 6.0797 0.0000
0.0000 0.0000 6.0797
K Sr F
3 1 1
direct
0.0000 0.0000 0.5000
0.0000 0.5000 0.0000
0.5000 0.0000 0.0000
0.5000 0.5000 0.5000
0.0000 0.0000 0.0000
```

Values from the calculation:
Volume (Å³/cell): 224.7
Space group: No. 221
M_tot (μB/f.u.): 0.00


Stability ranking, top and bottom: arrangement x is the most stable and arrangement w is the least stable.


Arrangement w

Entry from the Alexandria database: a relaxed structure of K2SrF4 (PBE-GGA).

```
K2SrF4
1.0
6.5071 0.0000 0.0000
0.0000 11.1734 0.0000
0.0000 0.0000 3.8243
K Sr F
4 2 8
direct
0.0573 0.1779 0.0000
0.4427 0.6779 0.0000
0.5573 0.3221 0.0000
0.9427 0.8221 0.0000
0.0000 0.5000 0.5000
0.5000 0.0000 0.5000
0.1484 0.6979 0.5000
0.2270 0.4600 0.0000
0.2730 0.9600 0.0000
0.3516 0.1979 0.5000
0.6484 0.8021 0.5000
0.7270 0.0400 0.0000
0.7730 0.5400 0.0000
0.8516 0.3021 0.5000
```

Values from the calculation:
Volume (Å³/cell): 278.0
Space group: No. 55
M_tot (μB/f.u.): 0.24


Arrangement x

Entry from the Alexandria database: a relaxed structure of K2SrF4 (PBE-GGA).

```
K2SrF4
1.0
-2.3671 2.3671 6.8813
2.3671 -2.3671 6.8813
2.3671 2.3671 -6.8813
K Sr F
2 1 4
direct
0.1468 0.1468 0.0000
0.8532 0.8532 0.0000
0.5000 0.5000 0.0000
0.0000 0.5000 0.5000
0.3272 0.3272 0.0000
0.5000 0.0000 0.5000
0.6728 0.6728 0.0000
```

Values from the calculation:
Volume (Å³/cell): 154.2
Space group: No. 139
M_tot (μB/f.u.): 0.20


Stability ranking, top and bottom: arrangement w is the most stable and arrangement x is the least stable.


Arrangement w

Entry from the Alexandria database: a relaxed structure of KTa2F (PBE-GGA).

```
KTa2F
1.0
0.0000 3.3963 3.3963
3.3963 0.0000 3.3963
3.3963 3.3963 0.0000
K Ta F
1 2 1
direct
0.0000 0.0000 0.0000
0.2500 0.2500 0.2500
0.7500 0.7500 0.7500
0.5000 0.5000 0.5000
```

Values from the calculation:
Volume (Å³/cell): 78.4
Space group: No. 225
M_tot (μB/f.u.): 0.00


Arrangement x

Entry from the Alexandria database: a relaxed structure of KTa2F (PBE-GGA).

```
KTa2F
1.0
-3.3194 3.3194 4.7042
3.3194 -3.3194 4.7042
3.3194 3.3194 -4.7042
K Ta F
2 4 2
direct
0.3750 0.6250 0.7500
0.6250 0.3750 0.2500
0.0000 0.0000 0.0000
0.0000 0.0000 0.5000
0.0000 0.5000 0.0000
0.5000 0.0000 0.5000
0.1250 0.8750 0.2500
0.8750 0.1250 0.7500
```

Values from the calculation:
Volume (Å³/cell): 207.3
Space group: No. 141
M_tot (μB/f.u.): 0.00


Stability ranking, top and bottom: arrangement x is the most stable and arrangement w is the least stable.


Arrangement w

Entry from the Alexandria database: a relaxed structure of K2TaF7 (PBE-GGA).

```
K2TaF7
1.0
10.2137 0.0000 0.0000
0.0000 5.8836 0.0000
0.0000 0.0000 11.4656
K Ta F
8 4 28
direct
0.0227 0.2500 0.1695
0.1198 0.2500 0.5587
0.3802 0.7500 0.0587
0.4773 0.7500 0.6695
0.5227 0.2500 0.3305
0.6198 0.2500 0.9413
0.8802 0.7500 0.4413
0.9773 0.7500 0.8305
0.2468 0.7500 0.3860
0.2532 0.2500 0.8860
0.7468 0.7500 0.1140
0.7532 0.2500 0.6140
0.1059 0.5306 0.3471
0.1059 0.9694 0.3471
0.1382 0.7500 0.5309
0.1551 0.0310 0.9839
0.1551 0.4690 0.9839
0.1707 0.0472 0.7695
0.1707 0.4528 0.7695
0.3293 0.5472 0.2695
0.3293 0.9528 0.2695
0.3449 0.5310 0.4839
0.3449 0.9690 0.4839
0.3618 0.2500 0.0309
0.3941 0.0306 0.8471
0.3941 0.4694 0.8471
0.6059 0.5306 0.1529
0.6059 0.9694 0.1529
0.6382 0.7500 0.9691
0.6551 0.0310 0.5161
0.6551 0.4690 0.5161
0.6707 0.0472 0.7305
0.6707 0.4528 0.7305
0.8293 0.5472 0.2305
0.8293 0.9528 0.2305
0.8449 0.5310 0.0161
0.8449 0.9690 0.0161
0.8618 0.2500 0.4691
0.8941 0.0306 0.6529
0.8941 0.4694 0.6529
```

Values from the calculation:
Volume (Å³/cell): 689.0
Space group: No. 62
M_tot (μB/f.u.): 0.04


Arrangement x

Entry from the Alexandria database: a relaxed structure of K2TaF7 (PBE-GGA).

```
K2TaF7
1.0
5.9425 0.0000 0.0000
0.0000 12.9075 0.0000
-0.0666 0.0000 8.6542
K Ta F
8 4 28
direct
0.2357 0.2169 0.0530
0.2357 0.2831 0.5530
0.2384 0.5601 0.1827
0.2384 0.9399 0.6827
0.7616 0.0601 0.3173
0.7616 0.4399 0.8173
0.7643 0.7169 0.4470
0.7643 0.7831 0.9470
0.2712 0.6279 0.7237
0.2712 0.8721 0.2237
0.7288 0.1279 0.7763
0.7288 0.3721 0.2763
0.0387 0.6049 0.8853
0.0387 0.8951 0.3853
0.0503 0.7449 0.7038
0.0503 0.7551 0.2038
0.1750 0.6191 0.5076
0.1750 0.8809 0.0076
0.2191 0.0232 0.2181
0.2191 0.4768 0.7181
0.4432 0.0780 0.8686
0.4432 0.4220 0.3686
0.4582 0.6115 0.9127
0.4582 0.8885 0.4127
0.4598 0.7446 0.2095
0.4598 0.7554 0.7095
0.5402 0.2446 0.2905
0.5402 0.2554 0.7905
0.5418 0.1115 0.5873
0.5418 0.3885 0.0873
0.5568 0.5780 0.6314
0.5568 0.9220 0.1314
0.7809 0.5232 0.2819
0.7809 0.9768 0.7819
0.8250 0.1191 0.9924
0.8250 0.3809 0.4924
0.9497 0.2449 0.7962
0.9497 0.2551 0.2962
0.9613 0.1049 0.6147
0.9613 0.3951 0.1147
```

Values from the calculation:
Volume (Å³/cell): 663.8
Space group: No. 14
M_tot (μB/f.u.): 0.09


Stability ranking, top and bottom: arrangement x is the most stable and arrangement w is the least stable.


Arrangement w

Entry from the Alexandria database: a relaxed structure of K2TcF6 (PBE-GGA).

```
K2TcF6
1.0
5.5762 0.0000 0.0000
0.0000 5.5762 0.0000
0.0000 0.0000 11.2615
K Tc F
4 2 12
direct
0.0000 0.0000 0.1633
0.0000 0.0000 0.8367
0.5000 0.5000 0.3367
0.5000 0.5000 0.6633
0.0000 0.0000 0.5000
0.5000 0.5000 0.0000
0.1714 0.1714 0.3720
0.1714 0.1714 0.6280
0.2504 0.2504 0.0000
0.2496 0.7504 0.5000
0.3286 0.6714 0.1280
0.3286 0.6714 0.8720
0.6714 0.3286 0.1280
0.6714 0.3286 0.8720
0.7504 0.2496 0.5000
0.7496 0.7496 0.0000
0.8286 0.8286 0.3720
0.8286 0.8286 0.6280
```

Values from the calculation:
Volume (Å³/cell): 350.2
Space group: No. 136
M_tot (μB/f.u.): 3.00


Arrangement x

Entry from the Alexandria database: a relaxed structure of K2TcF6 (PBE-GGA).

```
K2TcF6
1.0
0.0000 4.2605 4.2605
4.2605 0.0000 4.2605
4.2605 4.2605 0.0000
K Tc F
2 1 6
direct
0.2500 0.2500 0.2500
0.7500 0.7500 0.7500
0.0000 0.0000 0.0000
0.2306 0.2306 0.7694
0.2306 0.7694 0.2306
0.2306 0.7694 0.7694
0.7694 0.2306 0.2306
0.7694 0.2306 0.7694
0.7694 0.7694 0.2306
```

Values from the calculation:
Volume (Å³/cell): 154.7
Space group: No. 225
M_tot (μB/f.u.): 3.00


Stability ranking, top and bottom: arrangement w is the most stable and arrangement x is the least stable.


Arrangement w

Entry from the Alexandria database: a relaxed structure of KTcF6 (PBE-GGA).

```
KTcF6
1.0
5.7252 0.0000 0.0000
-2.8626 4.9582 0.0000
0.0000 0.0000 5.5440
K Tc F
1 1 6
direct
0.0000 0.0000 0.0000
0.6667 0.3333 0.5000
0.3954 0.0633 0.7003
0.3954 0.3321 0.2997
0.6679 0.0633 0.2997
0.6679 0.6046 0.7003
0.9367 0.3321 0.7003
0.9367 0.6046 0.2997
```

Values from the calculation:
Volume (Å³/cell): 157.4
Space group: No. 149
M_tot (μB/f.u.): 2.00


Arrangement x

Entry from the Alexandria database: a relaxed structure of KTcF6 (PBE-GGA).

```
KTcF6
1.0
0.0000 4.5535 4.5535
4.5535 0.0000 4.5535
4.5535 4.5535 0.0000
K Tc F
1 1 6
direct
0.0000 0.0000 0.0000
0.5000 0.5000 0.5000
0.2909 0.2909 0.7091
0.2909 0.7091 0.2909
0.2909 0.7091 0.7091
0.7091 0.2909 0.2909
0.7091 0.2909 0.7091
0.7091 0.7091 0.2909
```

Values from the calculation:
Volume (Å³/cell): 188.8
Space group: No. 225
M_tot (μB/f.u.): 2.00


Stability ranking, top and bottom: arrangement x is the most stable and arrangement w is the least stable.


Arrangement w

Entry from the Alexandria database: a relaxed structure of KTcF2 (PBE-GGA).

```
KTcF2
1.0
-3.2918 3.2918 3.7137
3.2918 -3.2918 3.7137
3.2918 3.2918 -3.7137
K Tc F
2 2 4
direct
0.0000 0.0000 0.0000
0.7500 0.2500 0.5000
0.2500 0.7500 0.5000
0.5000 0.5000 0.0000
0.1656 0.6250 0.0406
0.3750 0.4156 0.5406
0.5844 0.1250 0.9594
0.8750 0.8344 0.4594
```

Values from the calculation:
Volume (Å³/cell): 161.0
Space group: No. 122
M_tot (μB/f.u.): 4.30


Arrangement x

Entry from the Alexandria database: a relaxed structure of KTcF2 (PBE-GGA).

```
KTcF2
1.0
0.0000 3.1904 3.1904
3.1904 0.0000 3.1904
3.1904 3.1904 0.0000
K Tc F
1 1 2
direct
0.0000 0.0000 0.0000
0.5000 0.5000 0.5000
0.2500 0.2500 0.2500
0.7500 0.7500 0.7500
```

Values from the calculation:
Volume (Å³/cell): 64.9
Space group: No. 225
M_tot (μB/f.u.): 4.21


Arrangement y

Entry from the Alexandria database: a relaxed structure of KTcF2 (PBE-GGA).

```
KTcF2
1.0
1.4760 0.8522 7.6800
-1.4760 0.8522 7.6800
0.0000 -1.7043 7.6800
K Tc F
1 1 2
direct
0.0000 0.0000 0.0000
0.5000 0.5000 0.5000
0.4116 0.4116 0.4116
0.5884 0.5884 0.5884
```

Values from the calculation:
Volume (Å³/cell): 58.0
Space group: No. 166
M_tot (μB/f.u.): 0.00


Stability ranking, top and bottom: arrangement y is the most stable and arrangement x is the least stable.


Arrangement w

Entry from the Alexandria database: a relaxed structure of K3TeF (PBE-GGA).

```
K3TeF
1.0
4.0190 2.3204 8.1297
-4.0190 2.3204 8.1297
0.0000 -4.6407 8.1297
K Te F
6 2 2
direct
0.0583 0.7500 0.4417
0.2500 0.5583 0.9417
0.4417 0.0583 0.7500
0.5583 0.9417 0.2500
0.7500 0.4417 0.0583
0.9417 0.2500 0.5583
0.0000 0.0000 0.0000
0.5000 0.5000 0.5000
0.2500 0.2500 0.2500
0.7500 0.7500 0.7500
```

Values from the calculation:
Volume (Å³/cell): 454.9
Space group: No. 167
M_tot (μB/f.u.): 0.00


Arrangement x

Entry from the Alexandria database: a relaxed structure of K3TeF (PBE-GGA).

```
K3TeF
1.0
-3.1460 3.1460 11.8882
3.1460 -3.1460 11.8882
3.1460 3.1460 -11.8882
K Te F
6 2 2
direct
0.2012 0.2012 0.0000
0.3768 0.6184 0.7585
0.3816 0.1401 0.7585
0.3816 0.6232 0.2415
0.7988 0.7988 0.0000
0.8599 0.6184 0.2415
0.2500 0.7500 0.5000
0.5000 0.5000 0.0000
0.6592 0.1592 0.5000
0.8408 0.3408 0.5000
```

Values from the calculation:
Volume (Å³/cell): 470.7
Space group: No. 119
M_tot (μB/f.u.): 0.00


Stability ranking, top and bottom: arrangement w is the most stable and arrangement x is the least stable.